(1)
Compound: LaPm2Nd2Ho2
Source: Alexandria via LeMat-Bulk
Functional: PBE
Structure: optimized geometry

It has space group C2/m (No. 12), with a = 11.851 Å, b = 3.575 Å, c = 12.087 Å, α = 90.00°, β = 109.54° and γ = 90.00°. The distinct sites, in fractional coordinates, are La at (0.000, 0.000, 0.000), Pm at (0.052, 0.500, 0.271), Nd at (0.168, 0.500, 0.583) and Ho at (0.224, 0.000, 0.862).

The energy of formation from the pure elements comes out at 0.09 eV/atom. The density of states at the Fermi level comes out at 1.740 states/eV/atom.

***

(2)
Compound: Ac2SmRu
Source: Alexandria via LeMat-Bulk
Functional: PBE
Structure: optimized geometry

It has space group Pnna (No. 52), with a = 7.196 Å, b = 6.717 Å, c = 12.136 Å, α = 90.00°, β = 90.00° and γ = 90.00°. The distinct sites, in fractional coordinates, are Ac at (0.083, 0.243, 0.084), Sm at (0.089, 0.250, 0.750) and Ru at (0.250, 0.000, 0.905).

The energy of formation from the pure elements comes out at -0.15 eV/atom. The density of states at the Fermi level comes out at 0.927 states/eV/atom. For the distance to the lowest polymorph of the same formula, the calculation gives 0.0 meV per atom.